Entry 1:
# Zn2Ni4Ge

A relaxed Zn2Ni4Ge crystal (PBE, Alexandria).

The structure in extended XYZ format:
```
14
Lattice="5.746 0.000 0.000 0.000 5.746 0.000 0.000 0.000 5.517" Properties=species:S:1:pos:R:3 pbc="T T T"
Zn 0.000 2.873 0.000
Zn 0.000 2.873 2.759
Zn 2.873 0.000 0.000
Zn 2.873 0.000 2.759
Ni 1.437 1.437 1.379
Ni 1.437 1.437 4.138
Ni 1.437 4.310 1.379
Ni 1.437 4.310 4.138
Ni 4.310 1.437 1.379
Ni 4.310 1.437 4.138
Ni 4.310 4.310 1.379
Ni 4.310 4.310 4.138
Ge 0.000 0.000 0.000
Ge 2.873 2.873 2.759
```

Properties
ΔH_f (0 K) = -0.56 eV per formula unit

=====

Entry 2:
# PmTmSn4

A relaxed PmTmSn4 crystal (PBE, Alexandria).

The structure in extended XYZ format:
```
12
Lattice="6.016 0.000 0.000 0.000 6.134 0.000 -1.681 0.000 9.170" Properties=species:S:1:pos:R:3 pbc="T T T"
Pm 0.000 0.000 0.000
Pm 3.008 3.067 0.000
Tm -0.841 3.067 4.585
Tm 2.167 0.000 4.585
Sn -1.011 0.000 6.006
Sn -0.112 3.067 1.485
Sn 1.439 0.000 7.685
Sn 2.337 3.067 3.164
Sn 1.997 3.067 6.006
Sn 2.895 0.000 1.485
Sn 4.447 3.067 7.685
Sn 5.345 0.000 3.164
```

Properties
ΔH_f (0 K) = -2.13 eV per formula unit

=====

Entry 3:
# BTeHRhAu

A relaxed BTeHRhAu crystal (PBE, Alexandria).

The structure in extended XYZ format:
```
5
Lattice="3.062 0.000 0.000 1.030 4.580 0.000 0.387 1.948 6.121" Properties=species:S:1:pos:R:3 pbc="T T T"
B 0.000 0.000 0.000
Te 3.462 3.256 3.587
H 1.444 5.306 5.968
Rh 1.925 3.305 5.772
Au 3.111 0.950 1.971
```

Properties
energy above the lowest structure with this stoichiometry = 10 meV/atom

=====

Entry 4:
# CaBeGe2

A relaxed CaBeGe2 crystal (PBE, Alexandria).

The structure in extended XYZ format:
```
16
Lattice="4.796 0.000 0.000 0.000 4.796 0.000 0.000 0.000 15.320" Properties=species:S:1:pos:R:3 pbc="T T T"
Ca 0.000 0.000 0.000
Ca 0.000 2.398 3.830
Ca 2.398 0.000 11.490
Ca 2.398 2.398 7.660
Be 0.000 0.000 7.660
Be 0.000 2.398 11.490
Be 2.398 0.000 3.830
Be 2.398 2.398 0.000
Ge 0.523 1.199 9.575
Ge 1.199 2.921 13.405
Ge 1.199 4.273 5.745
Ge 1.875 1.199 1.915
Ge 2.921 3.597 1.915
Ge 3.597 0.523 5.745
Ge 3.597 1.875 13.405
Ge 4.273 3.597 9.575
```

Properties
ΔH_f (0 K) = -0.27 eV per formula unit

=====

Entry 5:
# TbZr2Al6

A relaxed TbZr2Al6 crystal (PBE, Alexandria).

The structure in extended XYZ format:
```
9
Lattice="7.764 0.000 0.000 -3.882 6.724 0.000 0.000 0.000 3.282" Properties=species:S:1:pos:R:3 pbc="T T T"
Tb 0.000 0.000 0.000
Zr 0.000 4.483 0.000
Zr 3.882 2.241 0.000
Al -1.307 2.263 1.641
Al -2.576 4.461 1.641
Al 2.613 0.000 1.641
Al 1.307 2.263 1.641
Al 5.151 0.000 1.641
Al 2.576 4.461 1.641
```

Properties
ΔH_f (0 K) = -3.98 eV per formula unit
energy above the lowest structure with this stoichiometry = 0 meV/atom

=====

Entry 6:
# Pm3BiBr

A relaxed Pm3BiBr crystal (PBE, Alexandria).

The structure in extended XYZ format:
```
20
Lattice="9.312 0.000 0.000 0.000 6.475 0.000 -3.913 0.000 10.405" Properties=species:S:1:pos:R:3 pbc="T T T"
Pm -0.836 0.753 3.118
Pm -2.793 2.484 8.320
Pm -0.315 3.889 5.473
Pm 1.642 5.824 0.271
Pm 0.570 1.214 8.914
Pm 2.526 2.023 3.711
Pm 2.873 4.452 6.694
Pm 4.829 5.261 1.491
Pm 3.757 0.651 10.134
Pm 5.714 2.586 4.932
Pm 8.192 3.991 2.085
Pm 6.235 5.722 7.287
Bi -0.041 4.449 8.693
Bi 1.916 5.264 3.491
Bi 3.483 1.212 6.914
Bi 5.440 2.026 1.712
Br -1.004 1.120 6.147
Br 0.953 2.118 0.945
Br 4.446 4.357 9.460
Br 6.403 5.355 4.257
```

Properties
formation energy without anion corrections = -0.706 eV per atom

=====

no.,VASP energy (eV/cell),magnetic moment (μB/atom)
1,-61.7,0.000
2,-54.7,0.000
3,-23.4,0.000
4,-60.9,0.000
5,-48.2,0.000
6,-93.3,0.000